Here is a relaxed HfVCdGe2 crystal from Alexandria. Energies are from PBE-GGA.

Values from the calculation:
DOS(E_F) ... 10.09 states/eV per cell
Symmetry ... P4/mmm (123)
ΔE_f ... 1228.1 meV/atom

```
HfVCdGe2
1.0
5.053 0.000 0.000
0.000 5.053 0.000
0.000 0.000 5.401
Hf V Cd Ge
1 1 1 2
Cartesian
0.000 0.000 0.000
2.527 2.527 2.700
0.000 0.000 2.700
0.000 2.527 0.000
2.527 0.000 0.000
```



Here is a relaxed CdHgGe crystal from Alexandria. Energies are from PBE-GGA.

Values from the calculation:
DOS(E_F) ... 0.77 states/eV per cell
Symmetry ... P3m1 (156)
ΔE_f ... 182.4 meV/atom

```
CdHgGe
1.0
3.129 0.000 0.000
-1.564 2.709 0.000
0.000 0.000 7.972
Cd Hg Ge
1 1 1
Cartesian
0.000 0.000 0.000
0.000 1.806 5.218
1.564 0.903 2.520
```



Here is a relaxed Cd2Hg2Ge crystal from Alexandria. Energies are from PBE-GGA.

Values from the calculation:
DOS(E_F) ... 4.04 states/eV per cell
Symmetry ... P4/mbm (127)
Offset from the most stable computed form ... 0 meV/atom
ΔE_f ... 181.2 meV/atom

```
Cd2Hg2Ge
1.0
7.389 0.000 0.000
0.000 7.389 0.000
0.000 0.000 4.481
Cd Hg Ge
4 4 2
Cartesian
1.058 2.636 0.000
2.636 6.331 0.000
4.752 1.058 0.000
6.331 4.752 0.000
1.209 4.903 2.241
2.486 1.209 2.241
4.903 6.180 2.241
6.180 2.486 2.241
0.000 0.000 0.000
3.694 3.694 0.000
```



Here is a relaxed Cd3Hg12Ge5 crystal from Alexandria. Energies are from PBE-GGA.

Values from the calculation:
DOS(E_F) ... 40.99 states/eV per cell
Symmetry ... Ia-3d (230)
ΔE_f ... 232.9 meV/atom

```
Cd3Hg12Ge5
1.0
-8.236 8.236 8.236
8.236 -8.236 8.236
8.236 8.236 -8.236
Cd Hg Ge
12 48 20
Cartesian
4.118 2.059 0.000
8.236 4.118 -2.059
2.059 0.000 4.118
10.295 0.000 4.118
0.000 4.118 2.059
4.118 -2.059 8.236
4.118 10.295 0.000
8.236 4.118 6.177
-2.059 8.236 4.118
6.177 8.236 4.118
0.000 4.118 10.295
4.118 6.177 8.236
2.463 -0.410 1.238
9.891 5.356 -4.528
7.826 -1.238 2.463
12.764 -1.655 2.880
10.699 0.410 1.238
9.891 -2.880 4.528
1.238 2.463 -0.410
11.116 3.708 -1.655
5.356 4.528 -1.655
6.998 2.463 0.410
-0.410 1.238 2.463
4.528 -1.655 5.356
7.826 6.998 -2.463
4.528 1.655 2.880
6.998 -2.463 7.826
5.356 -4.528 9.891
2.880 4.528 1.655
9.474 5.773 0.410
2.463 7.826 -1.238
9.891 2.880 3.708
4.528 9.891 -2.880
7.826 1.238 5.773
1.655 2.880 4.528
2.463 0.410 6.998
5.773 7.826 1.238
6.581 5.356 3.708
0.410 6.998 2.463
3.708 -1.655 11.116
-1.655 5.356 4.528
5.773 0.410 9.474
-1.238 2.463 7.826
5.356 3.708 6.581
2.880 12.764 -1.655
1.238 10.699 0.410
3.708 6.581 5.356
0.410 1.238 10.699
3.708 9.891 2.880
8.646 6.998 5.773
1.238 5.773 7.826
2.880 3.708 9.891
-2.880 4.528 9.891
6.998 5.773 8.646
-1.655 11.116 3.708
-2.463 7.826 6.998
-4.528 9.891 5.356
0.410 9.474 5.773
-1.655 2.880 12.764
5.773 8.646 6.998
0.000 0.000 0.000
4.118 4.118 -4.118
4.118 -4.118 4.118
8.236 0.000 0.000
12.354 2.059 0.000
8.236 -4.118 6.177
6.177 8.236 -4.118
6.177 0.000 4.118
4.118 6.177 0.000
8.236 4.118 2.059
-4.118 4.118 4.118
0.000 8.236 0.000
0.000 0.000 8.236
4.118 4.118 4.118
0.000 4.118 6.177
4.118 2.059 8.236
2.059 8.236 4.118
2.059 0.000 12.354
0.000 12.354 2.059
-4.118 6.177 8.236
```



Here is a relaxed Cd2Hg2Ge crystal from Alexandria. Energies are from PBE-GGA.

Values from the calculation:
DOS(E_F) ... 4.75 states/eV per cell
Symmetry ... P4/mbm (127)
Offset from the most stable computed form ... 33 meV/atom
ΔE_f ... 214.1 meV/atom

```
Cd2Hg2Ge
1.0
8.161 0.000 0.000
0.000 8.161 0.000
0.000 0.000 3.590
Cd Hg Ge
4 4 2
Cartesian
1.279 2.801 0.000
2.801 6.882 0.000
5.360 1.279 0.000
6.882 5.360 0.000
1.179 5.259 1.795
2.902 1.179 1.795
5.259 6.983 1.795
6.983 2.902 1.795
0.000 0.000 1.795
4.081 4.081 1.795
```



Here is a relaxed Cd2Hg2Ge crystal from Alexandria. Energies are from PBE-GGA.

Values from the calculation:
DOS(E_F) ... 1.98 states/eV per cell
Symmetry ... I4/mmm (139)
Offset from the most stable computed form ... 65 meV/atom
ΔE_f ... 246.2 meV/atom

```
Cd2Hg2Ge
1.0
-2.044 2.044 7.452
2.044 -2.044 7.452
2.044 2.044 -7.452
Cd Hg Ge
2 2 1
Cartesian
0.000 0.000 1.402
0.000 0.000 13.501
2.044 0.000 3.726
0.000 2.044 3.726
0.000 0.000 7.452
```



Here is a relaxed Cd4HgGe crystal from Alexandria. Energies are from PBE-GGA.

Values from the calculation:
DOS(E_F) ... 2.08 states/eV per cell
Symmetry ... F-43m (216)
ΔE_f ... 168.3 meV/atom

```
Cd4HgGe
1.0
0.000 4.121 4.121
4.121 0.000 4.121
4.121 4.121 0.000
Cd Hg Ge
4 1 1
Cartesian
1.031 1.031 1.031
3.090 3.090 1.031
3.090 1.031 3.090
1.031 3.090 3.090
6.181 6.181 6.181
4.121 4.121 4.121
```



Here is a relaxed CdHgGe2 crystal from Alexandria. Energies are from PBE-GGA.

Values from the calculation:
DOS(E_F) ... 4.46 states/eV per cell
Symmetry ... I-42d (122)
Offset from the most stable computed form ... 0 meV/atom
ΔE_f ... 289.0 meV/atom

```
CdHgGe2
1.0
-3.962 3.962 2.884
3.962 -3.962 2.884
3.962 3.962 -2.884
Cd Hg Ge
2 2 4
Cartesian
0.000 0.000 0.000
0.000 3.962 1.442
3.962 0.000 1.442
0.000 0.000 2.884
1.981 -1.940 2.163
2.022 1.981 0.721
1.981 5.903 -0.721
1.940 1.981 3.605
```



Here is a relaxed Cd2HgGe crystal from Alexandria. Energies are from PBE-GGA.

Values from the calculation:
DOS(E_F) ... 0.07 states/eV per cell
Symmetry ... I-42d (122)
Offset from the most stable computed form ... 136 meV/atom
ΔE_f ... 258.7 meV/atom

```
Cd2HgGe
1.0
-2.909 2.909 7.608
2.909 -2.909 7.608
2.909 2.909 -7.608
Cd Hg Ge
4 2 2
Cartesian
4.363 1.039 -1.902
1.039 1.454 1.902
-1.454 1.869 5.706
1.869 1.454 9.510
2.909 0.000 3.804
0.000 0.000 7.608
0.000 0.000 0.000
0.000 2.909 3.804
```



Here is a relaxed Cd2HgGe crystal from Alexandria. Energies are from PBE-GGA.

Values from the calculation:
DOS(E_F) ... 0.82 states/eV per cell
Symmetry ... Fm-3m (225)
Offset from the most stable computed form ... 57 meV/atom
ΔE_f ... 180.1 meV/atom

```
Cd2HgGe
1.0
0.000 3.555 3.555
3.555 0.000 3.555
3.555 3.555 0.000
Cd Hg Ge
2 1 1
Cartesian
1.777 1.777 1.777
5.332 5.332 5.332
0.000 0.000 0.000
3.555 3.555 3.555
```



Here is a relaxed Cd2HgGe2 crystal from Alexandria. Energies are from PBE-GGA.

Values from the calculation:
DOS(E_F) ... 1.68 states/eV per cell
Symmetry ... I4/mmm (139)
Offset from the most stable computed form ... 0 meV/atom
ΔE_f ... 172.1 meV/atom

```
Cd2HgGe2
1.0
-1.968 1.968 7.489
1.968 -1.968 7.489
1.968 1.968 -7.489
Cd Hg Ge
2 1 2
Cartesian
0.000 0.000 1.482
0.000 0.000 13.496
0.000 0.000 7.489
1.968 0.000 3.744
0.000 1.968 3.744
```



Here is a relaxed Cd3HgGe crystal from Alexandria. Energies are from PBE-GGA.

Values from the calculation:
DOS(E_F) ... 4.03 states/eV per cell
Symmetry ... Pm-3m (221)
Offset from the most stable computed form ... 0 meV/atom
ΔE_f ... 241.9 meV/atom

```
Cd3HgGe
1.0
5.345 0.000 0.000
0.000 5.345 0.000
0.000 0.000 5.345
Cd Hg Ge
3 1 1
Cartesian
0.000 0.000 2.673
0.000 2.673 0.000
2.673 0.000 0.000
2.673 2.673 2.673
0.000 0.000 0.000
```



Here is a relaxed Cd2HgGe2 crystal from Alexandria. Energies are from PBE-GGA.

Values from the calculation:
DOS(E_F) ... 3.10 states/eV per cell
Symmetry ... P4/mbm (127)
Offset from the most stable computed form ... 17 meV/atom
ΔE_f ... 189.0 meV/atom

```
Cd2HgGe2
1.0
8.842 0.000 0.000
0.000 8.842 0.000
0.000 0.000 2.946
Cd Hg Ge
4 2 4
Cartesian
1.322 3.099 0.000
3.099 7.520 0.000
5.743 1.322 0.000
7.520 5.743 0.000
0.000 0.000 1.473
4.421 4.421 1.473
1.306 5.727 1.473
3.115 1.306 1.473
5.727 7.536 1.473
7.536 3.115 1.473
```



Here is a relaxed Cd2HgGe crystal from Alexandria. Energies are from PBE-GGA.

Values from the calculation:
DOS(E_F) ... 1.37 states/eV per cell
Symmetry ... R3m (160)
Offset from the most stable computed form ... 41 meV/atom
ΔE_f ... 164.4 meV/atom

```
Cd2HgGe
1.0
1.974 1.139 7.355
-1.974 1.139 7.355
0.000 -2.279 7.355
Cd Hg Ge
2 1 1
Cartesian
0.000 0.000 0.000
0.000 0.000 3.951
0.000 0.000 16.710
0.000 0.000 13.006
```



Here is a relaxed Cd2HgGe2 crystal from Alexandria. Energies are from PBE-GGA.

Values from the calculation:
DOS(E_F) ... 2.35 states/eV per cell
Symmetry ... I4/mmm (139)
Offset from the most stable computed form ... 27 meV/atom
ΔE_f ... 199.3 meV/atom

```
Cd2HgGe2
1.0
-2.281 2.281 5.791
2.281 -2.281 5.791
2.281 2.281 -5.791
Cd Hg Ge
2 1 2
Cartesian
2.281 0.000 2.896
0.000 2.281 2.896
0.000 0.000 0.000
0.000 0.000 4.552
0.000 0.000 7.031
```



Here is a relaxed Cd2HgGe crystal from Alexandria. Energies are from PBE-GGA.

Values from the calculation:
DOS(E_F) ... 0.92 states/eV per cell
Symmetry ... P4/mmm (123)
Offset from the most stable computed form ... 0 meV/atom
ΔE_f ... 122.9 meV/atom

```
Cd2HgGe
1.0
5.573 0.000 0.000
0.000 5.573 0.000
0.000 0.000 2.950
Cd Hg Ge
2 1 1
Cartesian
0.000 2.787 0.000
2.787 0.000 0.000
0.000 0.000 1.475
2.787 2.787 1.475
```



Here is a relaxed CdHgGe3 crystal from Alexandria. Energies are from PBE-GGA.

Values from the calculation:
DOS(E_F) ... 1.68 states/eV per cell
Symmetry ... Pm-3m (221)
Offset from the most stable computed form ... 0 meV/atom
ΔE_f ... 789.2 meV/atom

```
CdHgGe3
1.0
5.209 0.000 0.000
0.000 5.209 0.000
0.000 0.000 5.209
Cd Hg Ge
1 1 3
Cartesian
0.000 0.000 0.000
2.604 2.604 2.604
0.000 0.000 2.604
0.000 2.604 0.000
2.604 0.000 0.000
```



Here is a relaxed Cd2HgGe2 crystal from Alexandria. Energies are from PBE-GGA.

Values from the calculation:
DOS(E_F) ... 3.98 states/eV per cell
Symmetry ... P4/mbm (127)
Offset from the most stable computed form ... 21 meV/atom
ΔE_f ... 192.9 meV/atom

```
Cd2HgGe2
1.0
8.751 0.000 0.000
0.000 8.751 0.000
0.000 0.000 2.985
Cd Hg Ge
4 2 4
Cartesian
1.345 3.031 0.000
3.031 7.407 0.000
5.720 1.345 0.000
7.407 5.720 0.000
0.000 0.000 0.000
4.376 4.376 0.000
1.246 5.622 1.493
3.129 1.246 1.493
5.622 7.505 1.493
7.505 3.129 1.493
```



Here is a relaxed Cd2HgGe crystal from Alexandria. Energies are from PBE-GGA.

Values from the calculation:
DOS(E_F) ... 1.72 states/eV per cell
Symmetry ... R-3m (166)
Offset from the most stable computed form ... 49 meV/atom
ΔE_f ... 171.9 meV/atom

```
Cd2HgGe
1.0
1.972 1.139 7.340
-1.972 1.139 7.340
0.000 -2.277 7.340
Cd Hg Ge
2 1 1
Cartesian
0.000 0.000 5.351
0.000 0.000 16.670
0.000 0.000 0.000
0.000 0.000 11.011
```



Here is a relaxed Cd3HgGe crystal from Alexandria. Energies are from PBE-GGA.

Values from the calculation:
DOS(E_F) ... 3.30 states/eV per cell
Symmetry ... Pm-3m (221)
Offset from the most stable computed form ... 345 meV/atom
ΔE_f ... 586.6 meV/atom

```
Cd3HgGe
1.0
5.337 0.000 0.000
0.000 5.337 0.000
0.000 0.000 5.337
Cd Hg Ge
3 1 1
Cartesian
0.000 0.000 2.669
0.000 2.669 0.000
2.669 0.000 0.000
0.000 0.000 0.000
2.669 2.669 2.669
```